Entry 1:
## Ag5RuCl8 (PBE)

Data for an optimized crystal structure of Ag5RuCl8.

abc: 8.8622 8.8622 8.8622
angles: 125.38 125.38 80.91
Fractional coordinates of all 14 atoms:
Ag (0.0000, 0.0000, 0.0000)
Ag (0.0415, 0.9045, 0.4963)
Ag (0.0955, 0.5918, 0.1370)
Ag (0.4082, 0.5452, 0.5037)
Ag (0.4548, 0.9585, 0.8630)
Ru (0.7500, 0.2500, 0.5000)
Cl (0.0599, 0.4245, 0.7505)
Cl (0.0614, 0.3679, 0.2051)
Cl (0.1437, 0.9386, 0.3065)
Cl (0.1628, 0.8563, 0.7949)
Cl (0.5755, 0.3260, 0.6354)
Cl (0.6321, 0.8372, 0.6935)
Cl (0.6740, 0.3094, 0.2495)
Cl (0.6906, 0.9401, 0.3646)

## Properties
SG ... No. 82
Formation energy (no corrections) ... -4.3 eV/f.u.
E_tot ... -0.22360 Ry/atom



Entry 2:
## Sc2GaSe (PBE)

Data for an optimized crystal structure of Sc2GaSe.

abc: 6.0757 6.0757 6.0757
angles: 105.95 105.95 116.77
Fractional coordinates of all 8 atoms:
Sc (0.1139, 0.6250, 0.9889)
Sc (0.3750, 0.3639, 0.4889)
Sc (0.6361, 0.1250, 0.0111)
Sc (0.8750, 0.8861, 0.5111)
Ga (0.2500, 0.7500, 0.5000)
Ga (0.5000, 0.5000, 0.0000)
Se (0.0000, 0.0000, 0.0000)
Se (0.7500, 0.2500, 0.5000)

## Properties
SG ... No. 122
Formation energy (no corrections) ... -2.9 eV/f.u.
E_tot ... -0.40500 Ry/atom
Offset from the most stable computed form ... 0.435 eV per atom



Entry 3:
## Tl2Fe3 (PBE)

Data for an optimized crystal structure of Tl2Fe3.

abc: 4.1256 4.1256 6.3385
angles: 90.00 90.00 120.00
Fractional coordinates of all 5 atoms:
Tl (0.3333, 0.6667, 0.1585)
Tl (0.6667, 0.3333, 0.8415)
Fe (0.0000, 0.0000, 0.5000)
Fe (0.3333, 0.6667, 0.5904)
Fe (0.6667, 0.3333, 0.4096)

## Properties
SG ... No. 164
E_tot ... -0.40900 Ry/atom
Calculated formation energy ... 0.459 eV/atom



Entry 4:
## NaLi2HoCl6 (PBE)

Data for an optimized crystal structure of NaLi2HoCl6.

abc: 7.2356 7.2356 7.2356
angles: 55.00 55.00 55.00
Fractional coordinates of all 10 atoms:
Na (0.0000, 0.0000, 0.0000)
Li (0.2941, 0.2941, 0.2941)
Li (0.7992, 0.7992, 0.7992)
Ho (0.4913, 0.4913, 0.4913)
Cl (0.0794, 0.6840, 0.4320)
Cl (0.2134, 0.5702, 0.9010)
Cl (0.4320, 0.0794, 0.6840)
Cl (0.5702, 0.9010, 0.2134)
Cl (0.6840, 0.4320, 0.0794)
Cl (0.9010, 0.2134, 0.5702)

## Properties
SG ... No. 146
Formation energy (no corrections) ... -19.9 eV/f.u.
E_tot ... -0.29945 Ry/atom



Entry 5:
## Sr2LaY2 (PBE)

Data for an optimized crystal structure of Sr2LaY2.

abc: 11.1839 11.1839 11.1839
angles: 156.63 156.63 33.29
Fractional coordinates of all 5 atoms:
Sr (0.1035, 0.1035, 0.0000)
Sr (0.8965, 0.8965, 0.0000)
La (0.5000, 0.5000, 0.0000)
Y (0.2500, 0.7500, 0.5000)
Y (0.7500, 0.2500, 0.5000)

## Properties
SG ... No. 139
E_tot ... -0.27892 Ry/atom
Calculated formation energy ... 0.449 eV/atom
Offset from the most stable computed form ... 0.121 eV per atom



Entry 6:
## Eu2AsH (PBE)

Data for an optimized crystal structure of Eu2AsH.

abc: 6.5911 6.5911 6.5911
angles: 37.82 37.82 37.82
Fractional coordinates of all 4 atoms:
Eu (0.2438, 0.2438, 0.2438)
Eu (0.7562, 0.7562, 0.7562)
As (0.0000, 0.0000, 0.0000)
H (0.5000, 0.5000, 0.5000)

## Properties
SG ... No. 166
E_tot ... -0.58535 Ry/atom
Offset from the most stable computed form ... 0.000 eV per atom



Entry 7:
## PaTl2I6 (PBE)

Data for an optimized crystal structure of PaTl2I6.

abc: 7.9814 7.9814 14.7757
angles: 90.00 90.00 90.00
Fractional coordinates of all 18 atoms:
Pa (0.0000, 0.0000, 0.0000)
Pa (0.5000, 0.5000, 0.5000)
Tl (0.0000, 0.0000, 0.3329)
Tl (0.0000, 0.0000, 0.6671)
Tl (0.5000, 0.5000, 0.1671)
Tl (0.5000, 0.5000, 0.8329)
I (0.1876, 0.1876, 0.1485)
I (0.1876, 0.1876, 0.8515)
I (0.2311, 0.2311, 0.5000)
I (0.2689, 0.7311, 0.0000)
I (0.3124, 0.6876, 0.3515)
I (0.3124, 0.6876, 0.6485)
I (0.6876, 0.3124, 0.3515)
I (0.6876, 0.3124, 0.6485)
I (0.7311, 0.2689, 0.0000)
I (0.7689, 0.7689, 0.5000)
I (0.8124, 0.8124, 0.1485)
I (0.8124, 0.8124, 0.8515)

## Properties
SG ... No. 136
Formation energy (no corrections) ... -7.5 eV/f.u.
E_tot ... -0.25330 Ry/atom
Offset from the most stable computed form ... 0.022 eV per atom



Entry 8:
## Y4SbTe2Se (PBE)

Data for an optimized crystal structure of Y4SbTe2Se.

abc: 7.4264 4.2853 7.5324
angles: 90.00 109.14 90.00
Fractional coordinates of all 8 atoms:
Y (0.2296, 0.0000, 0.2231)
Y (0.2444, 0.5000, 0.7693)
Y (0.7556, 0.5000, 0.2307)
Y (0.7704, 0.0000, 0.7769)
Sb (0.5000, 0.0000, 0.0000)
Te (0.0000, 0.0000, 0.5000)
Te (0.5000, 0.5000, 0.5000)
Se (0.0000, 0.5000, 0.0000)

## Properties
SG ... No. 10
Formation energy (no corrections) ... -11.3 eV/f.u.
E_tot ... -0.46889 Ry/atom



Taking the records one at a time from the top gives total moment values of 1.09 0.50 7.43 0.00 0.00 14.00 1.01 0.00 μB/f.u..